[1]
! NaPb2I2 | Alexandria | GGA-PBE | optimized geometry; values from VASP
&SYSTEM
  ibrav = 0, nat = 10, ntyp = 3
/
ATOMIC_SPECIES
Na 22.99 Na.upf
Pb 207.20 Pb.upf
I 126.90 I.upf
CELL_PARAMETERS angstrom
6.635 0.000 0.000
0.000 6.635 0.000
0.000 0.000 9.277
ATOMIC_POSITIONS angstrom
Na 0.000 0.000 0.000
Na 3.317 3.317 4.638
Pb 0.000 0.000 3.116
Pb 0.000 0.000 6.161
Pb 3.317 3.317 1.522
Pb 3.317 3.317 7.754
I 0.000 3.317 2.319
I 0.000 3.317 6.958
I 3.317 0.000 2.319
I 3.317 0.000 6.958
! Symmetry: No. 139
! Energy relative to the elements, uncorrected in eV/atom: -0.273
! Magnetic moment in μB per formula unit: 0.00

***

[2]
! NaSm2PuSe4 | Alexandria | GGA-PBE | optimized geometry; values from VASP
&SYSTEM
  ibrav = 0, nat = 8, ntyp = 4
/
ATOMIC_SPECIES
Na 22.99 Na.upf
Sm 150.36 Sm.upf
Pu 244.00 Pu.upf
Se 78.96 Se.upf
CELL_PARAMETERS angstrom
7.251 0.000 0.000
0.000 4.174 0.000
-2.416 0.000 6.854
ATOMIC_POSITIONS angstrom
Na 0.000 0.000 0.000
Sm -1.208 2.087 3.427
Sm 2.417 0.000 3.427
Pu 3.625 2.087 0.000
Se 0.006 0.000 5.150
Se 1.214 2.087 1.736
Se 3.621 2.087 5.118
Se 4.829 0.000 1.704
! Symmetry: No. 10
! Energy relative to the elements, uncorrected in eV/atom: -1.676
! Magnetic moment in μB per formula unit: 5.88

***

[3]
! TaMoOs4 | Alexandria | GGA-PBE | optimized geometry; values from VASP
&SYSTEM
  ibrav = 0, nat = 6, ntyp = 3
/
ATOMIC_SPECIES
Ta 180.95 Ta.upf
Mo 95.94 Mo.upf
Os 190.23 Os.upf
CELL_PARAMETERS angstrom
0.000 3.624 3.624
3.624 0.000 3.624
3.624 3.624 0.000
ATOMIC_POSITIONS angstrom
Ta 0.000 0.000 0.000
Mo 5.435 5.435 5.435
Os 2.720 2.720 2.720
Os 4.527 4.527 2.720
Os 4.527 2.720 4.527
Os 2.720 4.527 4.527
! E above lowest polymorph in eV/atom: 0.208
! Symmetry: No. 216
! Energy relative to the elements in eV/atom: 0.18
! Magnetic moment in μB per formula unit: 0.00

***

[4]
! CsNa2Au | Alexandria | GGA-PBE | optimized geometry; values from VASP
&SYSTEM
  ibrav = 0, nat = 16, ntyp = 3
/
ATOMIC_SPECIES
Cs 132.91 Cs.upf
Na 22.99 Na.upf
Au 196.97 Au.upf
CELL_PARAMETERS angstrom
8.191 0.000 0.000
0.000 8.191 0.000
0.000 0.000 8.191
ATOMIC_POSITIONS angstrom
Cs 0.000 0.000 0.000
Cs 0.000 4.095 4.095
Cs 4.095 0.000 4.095
Cs 4.095 4.095 0.000
Na 2.048 2.048 2.048
Na 2.048 2.048 6.143
Na 2.048 6.143 2.048
Na 2.048 6.143 6.143
Na 6.143 2.048 2.048
Na 6.143 2.048 6.143
Na 6.143 6.143 2.048
Na 6.143 6.143 6.143
Au 0.000 0.000 4.095
Au 0.000 4.095 0.000
Au 4.095 0.000 0.000
Au 4.095 4.095 4.095
! E above lowest polymorph in eV/atom: 0.175
! Symmetry: No. 225
! Energy relative to the elements in eV/atom: 0.00
! Magnetic moment in μB per formula unit: 0.00

***

[5]
! GaSiH2 | Alexandria | GGA-PBE | optimized geometry; values from VASP
&SYSTEM
  ibrav = 0, nat = 8, ntyp = 3
/
ATOMIC_SPECIES
Ga 69.72 Ga.upf
Si 28.09 Si.upf
H 1.01 H.upf
CELL_PARAMETERS angstrom
3.842 0.000 0.000
-1.182 5.146 0.000
-1.522 -1.289 5.467
ATOMIC_POSITIONS angstrom
Ga -0.266 1.260 0.363
Ga 1.405 2.598 5.104
Si -0.425 1.788 3.480
Si 1.564 2.069 1.987
H -0.505 0.293 3.729
H 0.848 -0.546 2.924
H 0.290 4.404 2.543
H 1.643 3.564 1.738
! E above lowest polymorph in eV/atom: 0.063
! Symmetry: No. 2
! Magnetic moment in μB per formula unit: 0.00

***

[6]
! SiAg3S | Alexandria | GGA-PBE | optimized geometry; values from VASP
&SYSTEM
  ibrav = 0, nat = 5, ntyp = 3
/
ATOMIC_SPECIES
Si 28.09 Si.upf
Ag 107.87 Ag.upf
S 32.06 S.upf
CELL_PARAMETERS angstrom
4.829 0.000 0.000
0.000 4.829 0.000
0.000 0.000 4.829
ATOMIC_POSITIONS angstrom
Si 0.000 0.000 0.000
Ag 0.000 2.414 2.414
Ag 2.414 0.000 2.414
Ag 2.414 2.414 0.000
S 2.414 2.414 2.414
! E above lowest polymorph in eV/atom: 0.000
! Symmetry: No. 221
! Energy relative to the elements, uncorrected in eV/atom: 0.672
! Magnetic moment in μB per formula unit: 0.00

***

[7]
! TaAl2CrAu | Alexandria | GGA-PBE | optimized geometry; values from VASP
&SYSTEM
  ibrav = 0, nat = 5, ntyp = 4
/
ATOMIC_SPECIES
Ta 180.95 Ta.upf
Al 26.98 Al.upf
Cr 52.00 Cr.upf
Au 196.97 Au.upf
CELL_PARAMETERS angstrom
4.621 0.000 0.000
0.000 4.621 0.000
0.000 0.000 4.446
ATOMIC_POSITIONS angstrom
Ta 0.000 0.000 0.000
Al 0.000 2.310 2.223
Al 2.310 0.000 2.223
Cr 0.000 0.000 2.223
Au 2.310 2.310 0.000
! Symmetry: No. 123
! Energy relative to the elements in eV/atom: 0.61
! Magnetic moment in μB per formula unit: 0.00

***

[8]
! V4Cr2Ni | Alexandria | GGA-PBE | optimized geometry; values from VASP
&SYSTEM
  ibrav = 0, nat = 14, ntyp = 3
/
ATOMIC_SPECIES
V 50.94 V.upf
Cr 52.00 Cr.upf
Ni 58.69 Ni.upf
CELL_PARAMETERS angstrom
4.282 0.000 0.000
0.000 4.282 0.000
0.000 0.000 11.616
ATOMIC_POSITIONS angstrom
V 0.000 0.000 2.331
V 0.000 0.000 9.285
V 0.000 2.141 0.000
V 0.000 2.141 5.808
V 2.141 0.000 0.000
V 2.141 0.000 5.808
V 2.141 2.141 3.477
V 2.141 2.141 8.139
Cr 0.000 0.000 4.402
Cr 0.000 0.000 7.213
Cr 2.141 2.141 1.406
Cr 2.141 2.141 10.210
Ni 0.000 0.000 0.000
Ni 2.141 2.141 5.808
! Symmetry: No. 139
! Energy relative to the elements in eV/atom: 0.98
! Magnetic moment in μB per formula unit: 0.49